Entry 1:
Li4Mn3CrO8: optimized geometry, GGA+U.

Output
**Total energy**: -6.68 eV per atom
**Total magnetization**: 15.00 μB/f.u.

a b c (Å): 10.6434 5.8052 5.8684
angles (deg): 90.00 122.66 90.00
Space group C2/m (No. 12)
Asymmetric unit:
Li1 0.0000 0.0000 0.0000 [2 per cell]
Li2 0.0000 0.5000 0.0000 [2 per cell]
Li3 0.2500 0.2500 0.5000 [4 per cell]
Mn1 0.0000 0.0000 0.5000 [2 per cell]
Mn2 0.2500 0.2500 0.0000 [4 per cell]
Cr1 0.0000 0.5000 0.5000 [2 per cell]
O1 0.0034 0.2427 0.2708 [8 per cell]
O2 0.2298 0.5000 0.7475 [4 per cell]
O3 0.2434 0.5000 0.2169 [4 per cell]

***

Entry 2:
Li32Mn13Cr3O48: optimized geometry, GGA+U.

Output
**Total energy**: -6.19 eV per atom
**Polymorph energy (0 for the lowest one)**: 0 meV per atom
**Total magnetization**: 40.98 μB/f.u.

a b c (Å): 5.0043 8.6880 19.4731
angles (deg): 81.80 85.32 89.84
Space group P1 (No. 1)
Asymmetric unit:
Li1 0.0000 0.0000 0.0000 [1 per cell]
Li2 0.9997 0.0034 0.4993 [1 per cell]
Li3 0.0125 0.3346 0.4991 [1 per cell]
Li4 0.0143 0.3355 0.9992 [1 per cell]
Li5 0.0190 0.6653 0.9988 [1 per cell]
Li6 0.0225 0.6645 0.5000 [1 per cell]
Li7 0.1337 0.4602 0.1234 [1 per cell]
Li8 0.1362 0.4602 0.6239 [1 per cell]
Li9 0.2496 0.2473 0.2501 [1 per cell]
Li10 0.2580 0.2580 0.7476 [1 per cell]
Li11 0.2603 0.5855 0.7483 [1 per cell]
Li12 0.2628 0.5853 0.2493 [1 per cell]
Li13 0.2706 0.9164 0.2482 [1 per cell]
Li14 0.2728 0.9146 0.7482 [1 per cell]
Li15 0.3835 0.7083 0.3736 [1 per cell]
Li16 0.3861 0.7106 0.8739 [1 per cell]
Li17 0.5050 0.5029 0.4992 [1 per cell]
Li18 0.5074 0.8350 0.9984 [1 per cell]
Li19 0.5073 0.8385 0.4999 [1 per cell]
Li20 0.5085 0.5077 0.9975 [1 per cell]
Li21 0.5197 0.1643 0.4990 [1 per cell]
Li22 0.5271 0.1628 0.9989 [1 per cell]
Li23 0.6351 0.9587 0.1245 [1 per cell]
Li24 0.6364 0.9603 0.6240 [1 per cell]
Li25 0.7547 0.7553 0.7489 [1 per cell]
Li26 0.7570 0.7520 0.2480 [1 per cell]
Li27 0.7597 0.0854 0.2483 [1 per cell]
Li28 0.7610 0.0855 0.7486 [1 per cell]
Li29 0.7670 0.4141 0.7490 [1 per cell]
Li30 0.7728 0.4135 0.2492 [1 per cell]
Li31 0.8837 0.2109 0.8731 [1 per cell]
Li32 0.8859 0.2077 0.3748 [1 per cell]
Mn1 0.1352 0.1235 0.1245 [1 per cell]
Mn2 0.1354 0.7939 0.6239 [1 per cell]
Mn3 0.1372 0.1267 0.6239 [1 per cell]
Mn4 0.1373 0.7918 0.1240 [1 per cell]
Mn5 0.3846 0.0438 0.3748 [1 per cell]
Mn6 0.3891 0.3754 0.3739 [1 per cell]
Mn7 0.3909 0.3782 0.8729 [1 per cell]
Mn8 0.6361 0.2938 0.6238 [1 per cell]
Mn9 0.6371 0.6268 0.6238 [1 per cell]
Mn10 0.6401 0.6271 0.1228 [1 per cell]
Mn11 0.8854 0.8746 0.8746 [1 per cell]
Mn12 0.8882 0.5435 0.8737 [1 per cell]
Mn13 0.8892 0.5412 0.3731 [1 per cell]
Cr1 0.3794 0.0450 0.8736 [1 per cell]
Cr2 0.6298 0.2948 0.1236 [1 per cell]
Cr3 0.8822 0.8733 0.3739 [1 per cell]
O1 0.0483 0.7278 0.8180 [1 per cell]
O2 0.0501 0.7233 0.3169 [1 per cell]
O3 0.0845 0.0471 0.3183 [1 per cell]
O4 0.0853 0.4048 0.3168 [1 per cell]
O5 0.0855 0.4072 0.8168 [1 per cell]
O6 0.0857 0.0470 0.8181 [1 per cell]
O7 0.1852 0.8680 0.9306 [1 per cell]
O8 0.1899 0.8710 0.4299 [1 per cell]
O9 0.1911 0.5126 0.9306 [1 per cell]
O10 0.1915 0.5121 0.4306 [1 per cell]
O11 0.2246 0.1923 0.4299 [1 per cell]
O12 0.2347 0.1916 0.9295 [1 per cell]
O13 0.2966 0.9782 0.5681 [1 per cell]
O14 0.2975 0.9762 0.0681 [1 per cell]
O15 0.3333 0.2994 0.5678 [1 per cell]
O16 0.3337 0.6578 0.5668 [1 per cell]
O17 0.3359 0.2957 0.0679 [1 per cell]
O18 0.3364 0.6560 0.0669 [1 per cell]
O19 0.4355 0.1170 0.1806 [1 per cell]
O20 0.4392 0.7629 0.6808 [1 per cell]
O21 0.4403 0.1210 0.6798 [1 per cell]
O22 0.4407 0.7606 0.1806 [1 per cell]
O23 0.4755 0.4425 0.6795 [1 per cell]
O24 0.4838 0.4418 0.1793 [1 per cell]
O25 0.5482 0.2270 0.3182 [1 per cell]
O26 0.5502 0.2323 0.8166 [1 per cell]
O27 0.5847 0.5485 0.3178 [1 per cell]
O28 0.5849 0.5509 0.8177 [1 per cell]
O29 0.5854 0.9091 0.8170 [1 per cell]
O30 0.5880 0.9086 0.3173 [1 per cell]
O31 0.6844 0.0136 0.4320 [1 per cell]
O32 0.6903 0.0115 0.9309 [1 per cell]
O33 0.6910 0.3698 0.4298 [1 per cell]
O34 0.6929 0.3703 0.9295 [1 per cell]
O35 0.7241 0.6909 0.9296 [1 per cell]
O36 0.7328 0.6915 0.4295 [1 per cell]
O37 0.7976 0.4783 0.5678 [1 per cell]
O38 0.7987 0.4819 0.0669 [1 per cell]
O39 0.8332 0.7987 0.0683 [1 per cell]
O40 0.8328 0.7996 0.5679 [1 per cell]
O41 0.8338 0.1575 0.5670 [1 per cell]
O42 0.8356 0.1578 0.0667 [1 per cell]
O43 0.9398 0.2607 0.1807 [1 per cell]
O44 0.9397 0.2630 0.6807 [1 per cell]
O45 0.9404 0.6189 0.1790 [1 per cell]
O46 0.9398 0.6210 0.6797 [1 per cell]
O47 0.9741 0.9397 0.1800 [1 per cell]
O48 0.9760 0.9422 0.6799 [1 per cell]

***

Entry 3:
Li3Mn4CrO8: optimized geometry, GGA+U.

Output
**Total energy**: -6.97 eV per atom
**Total magnetization**: 21.00 μB/f.u.
**Density of states at the Fermi level**: 9.08 states/eV/cell

a b c (Å): 10.7905 5.9802 5.9897
angles (deg): 90.00 123.61 90.00
Space group C2/m (No. 12)
Asymmetric unit:
Li1 0.0000 0.0000 0.0000 [2 per cell]
Li2 0.2500 0.2500 0.5000 [4 per cell]
Mn1 0.0000 0.0000 0.5000 [2 per cell]
Mn2 0.0000 0.5000 0.0000 [2 per cell]
Mn3 0.2500 0.2500 0.0000 [4 per cell]
Cr1 0.0000 0.5000 0.5000 [2 per cell]
O1 0.0037 0.2579 0.2616 [8 per cell]
O2 0.2294 0.5000 0.7476 [4 per cell]
O3 0.2496 0.0000 0.7690 [4 per cell]

***

total energy of number 1 (Li4Mn3CrO8)?
-6.68 eV per atom